Entry 1:
KTePt3 after structural relaxation, computed with PBE-GGA.

Summary:
Density in g cm⁻³: 10.084
ΔE to the lowest computed polymorph in eV/atom: 1.613
Total magnetic moment in μB per formula unit: 0.0

Cell: 4.9842 4.9842 4.9842 Å, 90.00 90.00 90.00°
Element x y z (fractional)
1 Pt 0.5000 0.0000 0.0000
2 Pt 0.0000 0.0000 0.5000
3 Te 0.5000 0.5000 0.5000
4 Pt 0.0000 0.5000 0.0000
5 K 0.0000 0.0000 0.0000

***

Entry 2:
KTe2Pt after structural relaxation, computed with PBE-GGA.

Summary:
Calculated total energy in eV/atom: -3.335
Density in g cm⁻³: 8.207
Total magnetic moment in μB per formula unit: 0.0

Cell: 4.9294 4.9302 4.0742 Å, 90.00 90.00 90.00°
Element x y z (fractional)
1 K 0.5000 0.0000 0.5000
2 Te 0.5000 0.5000 0.0000
3 Pt 0.0000 0.5000 0.5000
4 Te 0.0000 0.0000 0.0000

***

Entry 3:
KTe8Pt4 after structural relaxation, computed with PBE-GGA.

Summary:
Calculated total energy in eV/atom: -4.316
Density in g cm⁻³: 6.355
Total magnetic moment in μB per formula unit: 0.0

Cell: 8.0615 8.0615 9.7294 Å, 65.53 65.53 60.00°
Element x y z (fractional)
1 Te 0.7212 0.7212 0.8363
2 Pt 0.0000 0.5000 0.0000
3 Te 0.2825 0.7769 0.1637
4 Te 0.2231 0.7175 0.8363
5 Te 0.2231 0.2231 0.8363
6 Pt 0.5000 0.5000 0.0000
7 Te 0.2788 0.2788 0.1637
8 Te 0.7769 0.2825 0.1637
9 Te 0.7175 0.2231 0.8363
10 K 0.5000 0.5000 0.5000
11 Pt 0.5000 0.0000 0.0000
12 Te 0.7769 0.7769 0.1637
13 Pt 0.0000 0.0000 0.0000

***

Entry 4:
KTe2Pt after structural relaxation, computed with PBE-GGA.

Summary:
Calculated total energy in eV/atom: -3.469
Density in g cm⁻³: 6.484
Total magnetic moment in μB per formula unit: 0.0

Cell: 8.6430 8.6430 8.6430 Å, 27.96 27.96 27.96°
Element x y z (fractional)
1 Pt 0.7276 0.7276 0.7276
2 K 0.4933 0.4933 0.4933
3 Te 0.0160 0.0160 0.0160
4 Te 0.2631 0.2631 0.2631

***

Entry 5:
K2TePt after structural relaxation, computed with PBE-GGA.

Summary:
Calculated total energy in eV/atom: -3.112
Density in g cm⁻³: 4.429
Total magnetic moment in μB per formula unit: 0.0

Cell: 3.8894 3.8894 9.9350 Å, 90.00 90.00 90.01°
Element x y z (fractional)
1 Te 0.5000 0.5000 0.6519
2 K 0.5000 0.5000 0.3255
3 Pt 0.0000 0.0000 0.6049
4 K 0.0000 0.0000 0.9177

***

Entry 6:
KTe2Pt after structural relaxation, computed with PBE-GGA.

Summary:
Calculated total energy in eV/atom: -3.562
Density in g cm⁻³: 7.781
Total magnetic moment in μB per formula unit: 0.0

Cell: 5.5353 3.2124 5.8736 Å, 90.00 90.00 90.00°
Element x y z (fractional)
1 Te 0.5000 0.0000 0.3062
2 Te 0.0000 0.0000 0.9273
3 K 0.0000 0.4999 0.4431
4 Pt 0.5000 0.0000 0.8234

***

Entry 7:
KTl2TePt after structural relaxation, computed with PBE-GGA.

Summary:
Calculated total energy in eV/atom: -3.251
Density in g cm⁻³: 7.602
Total magnetic moment in μB per formula unit: 0.0

Cell: 5.2976 5.9970 5.2976 Å, 90.00 90.00 90.00°
Element x y z (fractional)
1 K 0.0000 0.5000 0.0000
2 Tl 0.0000 0.0000 0.5000
3 Pt 0.0000 0.0000 0.0000
4 Te 0.5000 0.5000 0.5000
5 Tl 0.5000 0.0000 0.0000

***

Entry 8:
KUTe4Pt after structural relaxation, computed with PBE-GGA.

Summary:
Calculated total energy in eV/atom: -4.988
Density in g cm⁻³: 7.432
Total magnetic moment in μB per formula unit: 1.5

Cell: 7.5018 6.2659 9.8727 Å, 90.00 108.89 90.00°
Each line ends with the local moment (μB).
Element x y z (fractional)
1 Te 0.9765 0.4983 0.2955  -0.05
2 U 0.2769 0.2500 0.5578  1.83
3 Te 0.0235 0.5017 0.7045  -0.05
4 Te 0.4256 0.7500 0.6033  -0.07
5 Te 0.5427 0.2500 0.8627  -0.07
6 Pt 0.7230 0.2500 0.6760  -0.06
7 K 0.7877 0.7500 0.9417  0.00
8 Te 0.0235 0.9983 0.7045  -0.05
9 Te 0.9765 0.0017 0.2955  -0.05
10 U 0.7231 0.7500 0.4422  1.83
11 Te 0.5744 0.2500 0.3967  -0.07
12 K 0.2123 0.2500 0.0583  0.00
13 Te 0.4573 0.7500 0.1373  -0.07
14 Pt 0.2770 0.7500 0.3240  -0.06

***

Entry 9:
K3U3Te8Pt after structural relaxation, computed with PBE-GGA.

Summary:
Calculated total energy in eV/atom: -5.246
Density in g cm⁻³: 6.166
Total magnetic moment in μB per formula unit: 7.6

Cell: 8.5959 8.6011 9.9383 Å, 115.65 90.01 119.98°
Each line ends with the local moment (μB).
Element x y z (fractional)
1 Te 0.2197 0.9761 0.6960  -0.05
2 K 0.0000 0.5000 0.0000  0.00
3 U 0.5000 0.5000 0.5000  2.46
4 Te 0.7557 0.9760 0.6964  -0.05
5 Pt 0.0000 0.0000 0.5000  0.05
6 K 0.5000 0.5000 0.0000  0.00
7 Te 0.2443 0.0240 0.3036  -0.05
8 Te 0.2616 0.5232 0.2846  -0.06
9 Te 0.7803 0.0239 0.3040  -0.05
10 K 0.0000 0.0000 0.0000  0.00
11 Te 0.2234 0.4468 0.6983  -0.05
12 U 0.0000 0.5000 0.5000  2.46
13 Te 0.7384 0.4768 0.7154  -0.06
14 U 0.5000 0.0000 0.5000  2.47
15 Te 0.7766 0.5532 0.3017  -0.05

***

Entry 10:
KThPt4 after structural relaxation, computed with PBE-GGA.

Summary:
Density in g cm⁻³: 14.747
Energy of formation from the pure elements in eV/atom: -0.714
Total magnetic moment in μB per formula unit: 0.0

Cell: 5.5117 5.5117 5.5117 Å, 60.00 60.00 60.00°
Element x y z (fractional)
1 Pt 0.1257 0.6248 0.6248
2 K 0.2500 0.2500 0.2500
3 Pt 0.6248 0.1257 0.6248
4 Th 0.0000 0.0000 0.0000
5 Pt 0.6248 0.6248 0.6248
6 Pt 0.6248 0.6248 0.1257

***

Entry 11:
KTiPt3 after structural relaxation, computed with PBE-GGA.

Summary:
Density in g cm⁻³: 9.815
Energy of formation from the pure elements in eV/atom: 0.179
ΔE to the lowest computed polymorph in eV/atom: 0.000
Total magnetic moment in μB per formula unit: 0.0

Cell: 4.8450 4.8450 4.8450 Å, 90.00 90.00 90.00°
Element x y z (fractional)
1 Ti 0.0000 0.0000 0.0000
2 Pt 0.0000 0.5000 0.0000
3 K 0.5000 0.5000 0.5000
4 Pt 0.5000 0.0000 0.0000
5 Pt 0.0000 0.0000 0.5000

***

Entry 12:
K2Ti2Pt after structural relaxation, computed with PBE-GGA.

Summary:
Density in g cm⁻³: 5.128
Energy of formation from the pure elements in eV/atom: 0.852
ΔE to the lowest computed polymorph in eV/atom: 0.489
Total magnetic moment in μB per formula unit: 0.0

Cell: 3.8418 3.8418 8.5399 Å, 77.00 77.00 90.00°
Element x y z (fractional)
1 K 0.2500 0.7500 0.5000
2 Ti 0.4351 0.4351 0.1297
3 Pt 0.0000 0.0000 0.0000
4 Ti 0.5649 0.5649 0.8703
5 K 0.7500 0.2500 0.5000